1.
8
Lattice="-3.059 1.198 3.891 -2.938 -1.897 -5.059 0.295 -6.014 2.084" Properties=species:S:1:pos:R:3 comment="KSbPt2 PBE-GGA optimized geometry" dos_at_fermi_per_ev_fu=1.24 relative_energy_ev_per_atom=0.133 magnetic_moment_mub_per_fu=0.00 formation_energy_uncorrected_ev_per_fu=-0.8 dft_energy_ev_per_atom=-4.53 vol_a3_per_cell=182 pbc="T T T"
K -5.268 -2.012 -0.190
K -0.434 -4.701 1.106
Sb -1.890 -2.074 -0.847
Sb -3.813 -4.639 1.764
Pt -3.136 -6.727 -0.394
Pt -2.567 0.014 1.310
Pt -2.447 -2.433 2.158
Pt -3.256 -4.279 -1.242

2.
12
Lattice="-2.758 4.957 2.430 -2.196 -3.303 4.244 5.630 2.150 2.005" Properties=species:S:1:pos:R:3 comment="SbRhF PBE-GGA optimized geometry" dos_at_fermi_per_ev_fu=0.83 magnetic_moment_mub_per_fu=0.00 formation_energy_uncorrected_ev_per_fu=-2.6 dft_energy_ev_per_atom=-5.30 vol_a3_per_cell=217 pbc="T T T"
Sb 4.727 1.962 2.911
Sb -0.229 -1.619 4.678
Sb 1.709 3.979 3.294
Sb -3.217 0.343 5.033
F -1.090 3.810 6.239
F -2.040 3.534 3.846
F 2.147 1.293 5.335
F 0.537 2.205 3.524
Rh 0.181 5.259 4.832
Rh -0.772 0.823 4.963
Rh -1.618 1.702 2.442
Rh 0.946 4.526 7.425

3.
5
Lattice="3.922 0.000 0.000 0.000 4.688 0.000 0.000 0.000 3.922" Properties=species:S:1:pos:R:3 comment="NbCuB2Au PBE-GGA optimized geometry" dos_at_fermi_per_ev_fu=3.52 ef_ev_per_atom=1.278 magnetic_moment_mub_per_fu=0.00 dft_energy_ev_per_atom=-4.88 vol_a3_per_cell=72 pbc="T T T"
Nb 1.961 2.344 1.961
B 0.000 0.000 1.961
B 1.961 0.000 0.000
Au 0.000 2.344 0.000
Cu 0.000 0.000 0.000

4.
10
Lattice="-0.718 3.618 0.594 -4.893 -2.973 0.448 1.189 -0.907 6.961" Properties=species:S:1:pos:R:3 comment="ThBRu2C PBE-GGA optimized geometry" dos_at_fermi_per_ev_fu=3.38 ef_ev_per_atom=-0.267 magnetic_moment_mub_per_fu=0.00 dft_energy_ev_per_atom=-8.64 vol_a3_per_cell=144 pbc="T T T"
Th -3.807 -1.723 5.887
Th -0.615 1.459 2.116
B -1.846 0.601 5.855
B -2.576 -0.864 2.148
Ru -0.700 -1.249 6.761
Ru -3.722 0.986 1.242
Ru -1.138 -0.915 4.194
Ru -3.284 0.652 3.809
C 0.000 0.000 0.000
C 0.594 -0.454 3.480

Q: What is the formula in the third record?
A: NbCuB2Au